CsIBr3: optimized geometry, PBE.

- DFT total energy (eV per atom) = -1.495
- space-group type = Pm-3m (221)
- total magnetization (μB per formula unit) = 3.029
- excess energy over the best structure of this formula in the dataset (eV/atom) = 0.754

Cell lengths 6.971, 6.971, 6.971 Å; angles 90.00, 90.00, 90.00 degrees
Element x y z (fractional)
Cs1 0.000 0.000 0.000
I1 0.500 0.500 0.500
Br1 0.000 0.000 0.500
Br2 0.000 0.500 0.000
Br3 0.500 0.000 0.000